Entry 1:
Computed, not measured: crystalline Ce4Pb2F at its relaxed geometry at the PBE level of DFT.

It has space group I4/mmm (No. 139), with a = 4.833 Å, b = 4.833 Å, c = 17.472 Å, α = 90.00°, β = 90.00° and γ = 90.00°. Symmetry generates all atoms from Ce at (0.000, 0.000, 0.176), Ce at (0.000, 0.500, 0.000), Pb at (0.000, 0.000, 0.363) and F at (0.000, 0.000, 0.000).

The value obtained for the total magnetization is 12.55 μB per cell. For the uncorrected formation energy, the calculation gives -6.2 eV per formula unit.

Entry 2:
Computed, not measured: crystalline Cs5Si4Sb2 at its relaxed geometry at the PBE level of DFT.

It has space group C2/m (No. 12), with a = 16.909 Å, b = 7.364 Å, c = 9.699 Å, α = 90.00°, β = 99.33° and γ = 90.00°. Symmetry generates all atoms from Cs at (0.000, 0.000, 0.000), Cs at (0.173, 0.249, 0.669), Si at (0.019, 0.000, 0.386), Si at (0.142, 0.000, 0.336) and Sb at (0.034, 0.500, 0.375).

The value obtained for the total magnetization is 0.00 μB per cell. For the uncorrected formation energy, the calculation gives 2.6 eV per formula unit.

Entry 3:
Computed, not measured: crystalline MoPHCl2 at its relaxed geometry at the PBE level of DFT.

It has space group P4/mmm (No. 123), with a = 4.779 Å, b = 4.779 Å, c = 3.290 Å, α = 90.00°, β = 90.00° and γ = 90.00°. Symmetry generates all atoms from Mo at (0.000, 0.000, 0.000), P at (0.500, 0.500, 0.000), H at (0.500, 0.500, 0.500) and Cl at (0.000, 0.500, 0.500).

The value obtained for the energy relative to the lowest polymorph listed for this composition is 447.9 meV per atom. The value obtained for the total magnetization is 2.26 μB per cell.

Entry 4:
Computed, not measured: crystalline ZnHgAu4 at its relaxed geometry at the PBE level of DFT.

It has space group C2/m (No. 12), with a = 4.474 Å, b = 4.473 Å, c = 10.907 Å, α = 90.00°, β = 90.04° and γ = 90.00°. Symmetry generates all atoms from Zn at (0.000, 0.000, 0.000), Hg at (0.000, 0.500, 0.500), Au at (0.000, 0.000, 0.316) and Au at (0.002, 0.500, 0.142).

As for the formation energy from the elements: -0.04 eV per atom. The value obtained for the energy relative to the lowest polymorph listed for this composition is 0.0 meV per atom. The value obtained for the total magnetization is 0.00 μB per cell.

Entry 5:
Computed, not measured: crystalline PaFe2 at its relaxed geometry at the PBE level of DFT.

It has space group Fd-3m (No. 227, origin choice 2), with a = 7.089 Å, b = 7.089 Å, c = 7.089 Å, α = 90.00°, β = 90.00° and γ = 90.00°. Symmetry generates all atoms from Pa at (0.125, 0.125, 0.125) and Fe at (0.000, 0.000, 0.500).

As for the formation energy from the elements: -0.21 eV per atom. The value obtained for the total magnetization is 14.22 μB per cell.

Entry 6:
Computed, not measured: crystalline Re2MoAu at its relaxed geometry at the PBE level of DFT.

It has space group Cmmm (No. 65), with a = 3.121 Å, b = 4.439 Å, c = 9.266 Å, α = 90.00°, β = 90.00° and γ = 90.00°. Symmetry generates all atoms from Re at (0.000, 0.000, 0.234), Mo at (0.000, 0.500, 0.000) and Au at (0.000, 0.500, 0.500).

As for the formation energy from the elements: 0.34 eV per atom. The value obtained for the energy relative to the lowest polymorph listed for this composition is 132.1 meV per atom. The value obtained for the total magnetization is 0.00 μB per cell.

no.,calculated volume (Å³/cell)
1,408.2
2,1191.6
3,75.1
4,218.3
5,356.2
6,128.4